--- i ---
A plane-wave DFT calculation with PBE was carried out for a relaxed Rb2BiF5 crystal.

The structure belongs to space group Pnma (No. 62); the cell edges are 11.5444, 7.7480 and 6.9942 Å and the angles 90.00°, 90.00° and 90.00°. The distinct sites, in fractional coordinates, are Rb at (0.1702, 0.0033, 0.0392), Bi at (0.0033, 0.2500, 0.5585), F at (0.0145, 0.2500, 0.8860), F at (0.0712, 0.5364, 0.6494), F at (0.1704, 0.2500, 0.3745) and F at (0.1862, 0.7500, 0.3490).

As for the density of states at the Fermi level: 0.0 states/eV/f.u. Its density is 5.04 g/cm3.

***

--- ii ---
A plane-wave DFT calculation with PBE was carried out for a relaxed Rb2BiF5 crystal.

The structure belongs to space group I4mm (No. 107); the cell edges are 6.8199, 6.8199 and 7.7773 Å and the angles 90.00°, 90.00° and 90.00°. The distinct sites, in fractional coordinates, are Rb at (0.0000, 0.5000, 0.0000), Bi at (0.0000, 0.0000, 0.2306), F at (0.0000, 0.0000, 0.4961) and F at (0.2286, 0.2286, 0.2661).

As for the density of states at the Fermi level: 0.0 states/eV/f.u. Its density is 4.36 g/cm3.

***

Of them, ii has the lowest stability.

***

--- i ---
A plane-wave DFT calculation with PBE was carried out for a relaxed RbBiF3 crystal.

The structure belongs to space group Pm-3m (No. 221); the cell edges are 4.8404, 4.8404 and 4.8404 Å and the angles 90.00°, 90.00° and 90.00°. The distinct sites, in fractional coordinates, are Rb at (0.0000, 0.0000, 0.0000), Bi at (0.5000, 0.5000, 0.5000) and F at (0.0000, 0.5000, 0.5000).

As for the density of states at the Fermi level: 3.6 states/eV/f.u. Its density is 5.15 g/cm3.

***

--- ii ---
A plane-wave DFT calculation with PBE was carried out for a relaxed RbBiF3 crystal.

The structure belongs to space group P4/nmm (No. 129, origin choice 2); the cell edges are 4.2599, 4.2599 and 13.4257 Å and the angles 90.00°, 90.00° and 90.00°. The distinct sites, in fractional coordinates, are Rb at (0.2500, 0.2500, 0.1655), Bi at (0.2500, 0.2500, 0.6126), F at (0.2500, 0.7500, 0.3022) and F at (0.2500, 0.7500, 0.5000).

As for the density of states at the Fermi level: 1.8 states/eV/f.u. Its density is 4.79 g/cm3.

***

Of them, ii has the lowest stability.

***

--- i ---
A plane-wave DFT calculation with PBE was carried out for a relaxed RbBiF3 crystal.

The structure belongs to space group P-1 (No. 2); the cell edges are 4.8571, 6.1545 and 8.5147 Å and the angles 101.83°, 103.90° and 93.40°. The distinct sites, in fractional coordinates, are Rb at (0.2446, 0.2092, 0.3781), Bi at (0.2296, 0.3786, 0.8551), F at (0.0195, 0.3204, 0.0798), F at (0.2782, 0.5748, 0.6731) and F at (0.4831, 0.1526, 0.7143).

As for the density of states at the Fermi level: 0.0 states/eV/f.u. Its density is 4.86 g/cm3.

***

--- ii ---
A plane-wave DFT calculation with PBE was carried out for a relaxed RbBiF3 crystal.

The structure belongs to space group Pm-3m (No. 221); the cell edges are 4.9094, 4.9094 and 4.9094 Å and the angles 90.00°, 90.00° and 90.00°. The distinct sites, in fractional coordinates, are Rb at (0.0000, 0.0000, 0.0000), Bi at (0.5000, 0.5000, 0.5000) and F at (0.0000, 0.0000, 0.5000).

As for the density of states at the Fermi level: 3.6 states/eV/f.u. Its density is 4.93 g/cm3.

***

--- iii ---
A plane-wave DFT calculation with PBE was carried out for a relaxed RbBiF3 crystal.

The structure belongs to space group Cmcm (No. 63); the cell edges are 7.7301, 11.1863 and 6.1146 Å and the angles 90.00°, 90.00° and 90.00°. The distinct sites, in fractional coordinates, are Rb at (0.0000, 0.1588, 0.2500), Bi at (0.0000, 0.5000, 0.0000), F at (0.0000, 0.3360, 0.7500) and F at (0.2474, 0.0044, 0.7500).

Its density is 4.41 g/cm3.

***

Of them, ii has the lowest stability.

***

--- i ---
A plane-wave DFT calculation with PBE was carried out for a relaxed Rb5Bi2F12 crystal.

The structure belongs to space group C2/m (No. 12); the cell edges are 14.0068, 8.1950 and 6.9986 Å and the angles 90.00°, 110.61° and 90.00°. The distinct sites, in fractional coordinates, are Rb at (0.0000, 0.0000, 0.0000), Rb at (0.1795, 0.5000, 0.0843), Rb at (0.2456, 0.0000, 0.3654), Bi at (0.0000, 0.2483, 0.5000), F at (0.0655, 0.0000, 0.4212), F at (0.0669, 0.5000, 0.6719), F at (0.1180, 0.2988, 0.3477) and F at (0.1242, 0.1934, 0.8081).

As for the density of states at the Fermi level: 7.0 states/eV/f.u. Its density is 4.74 g/cm3.

***

--- ii ---
A plane-wave DFT calculation with PBE was carried out for a relaxed Rb5Bi2F12 crystal.

The structure belongs to space group C2/m (No. 12); the cell edges are 13.9126, 8.2941 and 6.9149 Å and the angles 90.00°, 98.25° and 90.00°. The distinct sites, in fractional coordinates, are Rb at (0.0000, 0.0000, 0.0000), Rb at (0.1386, 0.5000, 0.0174), Rb at (0.2414, 0.0000, 0.4846), Bi at (0.0000, 0.2516, 0.5000), F at (0.0337, 0.5000, 0.3391), F at (0.0660, 0.0000, 0.6399), F at (0.1017, 0.2058, 0.2740) and F at (0.1398, 0.3000, 0.7040).

As for the density of states at the Fermi level: 7.1 states/eV/f.u. Its density is 4.51 g/cm3.

***

Of them, i has the lowest stability.

***

--- i ---
A plane-wave DFT calculation with PBE was carried out for a relaxed Rb2BiF crystal.

The structure belongs to space group P4/mmm (No. 123); the cell edges are 3.5415, 3.5415 and 9.3569 Å and the angles 90.00°, 90.00° and 90.00°. The distinct sites, in fractional coordinates, are Rb at (0.0000, 0.0000, 0.1815), Bi at (0.5000, 0.5000, 0.5000) and F at (0.5000, 0.5000, 0.0000).

As for the density of states at the Fermi level: 1.3 states/eV/f.u. Its density is 5.64 g/cm3.

***

--- ii ---
A plane-wave DFT calculation with PBE was carried out for a relaxed Rb2BiF crystal.

The structure belongs to space group Fm-3m (No. 225); the cell edges are 8.5703, 8.5703 and 8.5703 Å and the angles 90.00°, 90.00° and 90.00°. The distinct sites, in fractional coordinates, are Rb at (0.2500, 0.2500, 0.2500), Bi at (0.0000, 0.0000, 0.0000) and F at (0.0000, 0.0000, 0.5000).

As for the density of states at the Fermi level: 1.1 states/eV/f.u. Its density is 4.21 g/cm3.

***

Of them, ii has the lowest stability.

***

--- i ---
A plane-wave DFT calculation with PBE was carried out for a relaxed ReBi3F crystal.

The structure belongs to space group Pm-3m (No. 221); the cell edges are 5.3350, 5.3350 and 5.3350 Å and the angles 90.00°, 90.00° and 90.00°. The distinct sites, in fractional coordinates, are Re at (0.0000, 0.0000, 0.0000), Bi at (0.0000, 0.0000, 0.5000) and F at (0.5000, 0.5000, 0.5000).

As for the density of states at the Fermi level: 4.8 states/eV/f.u. Its density is 9.10 g/cm3.

***

--- ii ---
A plane-wave DFT calculation with PBE was carried out for a relaxed ReBi3F crystal.

The structure belongs to space group Pm-3m (No. 221); the cell edges are 4.9424, 4.9424 and 4.9424 Å and the angles 90.00°, 90.00° and 90.00°. The distinct sites, in fractional coordinates, are Re at (0.0000, 0.0000, 0.0000), Bi at (0.0000, 0.5000, 0.5000) and F at (0.5000, 0.5000, 0.5000).

As for the density of states at the Fermi level: 4.6 states/eV/f.u. Its density is 11.45 g/cm3.

***

Of them, ii has the lowest stability.

***

--- i ---
A plane-wave DFT calculation with PBE was carried out for a relaxed BiRh3F crystal.

The structure belongs to space group Pm-3m (No. 221); the cell edges are 4.3993, 4.3993 and 4.3993 Å and the angles 90.00°, 90.00° and 90.00°. The distinct sites, in fractional coordinates, are Bi at (0.0000, 0.0000, 0.0000), Rh at (0.0000, 0.5000, 0.5000) and F at (0.5000, 0.5000, 0.5000).

As for the density of states at the Fermi level: 4.5 states/eV/f.u. Its density is 10.47 g/cm3.

***

--- ii ---
A plane-wave DFT calculation with PBE was carried out for a relaxed BiRh3F crystal.

The structure belongs to space group Pm-3m (No. 221); the cell edges are 5.0804, 5.0804 and 5.0804 Å and the angles 90.00°, 90.00° and 90.00°. The distinct sites, in fractional coordinates, are Bi at (0.0000, 0.0000, 0.0000), Rh at (0.0000, 0.0000, 0.5000) and F at (0.5000, 0.5000, 0.5000).

As for the density of states at the Fermi level: 5.5 states/eV/f.u. Its density is 6.80 g/cm3.

***

Of them, ii has the lowest stability.

***

--- i ---
A plane-wave DFT calculation with PBE was carried out for a relaxed BiRh2F crystal.

The structure belongs to space group I-42d (No. 122); the cell edges are 6.9305, 6.9305 and 5.5220 Å and the angles 90.00°, 90.00° and 90.00°. The distinct sites, in fractional coordinates, are Bi at (0.0000, 0.0000, 0.0000), Rh at (0.2136, 0.2500, 0.6250) and F at (0.0000, 0.0000, 0.5000).

As for the density of states at the Fermi level: 5.0 states/eV/f.u. Its density is 10.86 g/cm3.

***

--- ii ---
A plane-wave DFT calculation with PBE was carried out for a relaxed BiRh2F crystal.

The structure belongs to space group Fm-3m (No. 225); the cell edges are 6.3385, 6.3385 and 6.3385 Å and the angles 90.00°, 90.00° and 90.00°. The distinct sites, in fractional coordinates, are Bi at (0.0000, 0.0000, 0.0000), Rh at (0.2500, 0.2500, 0.2500) and F at (0.0000, 0.0000, 0.5000).

As for the density of states at the Fermi level: 3.4 states/eV/f.u. Its density is 11.31 g/cm3.

***

Of them, i has the lowest stability.